No. 1
First-principles (PBE) data for a relaxed Cs2SeS crystal, as listed in the Alexandria database.

a b c (Å): 12.0122 12.0122 5.2566
angles (deg): 90.00 90.00 90.00
Closest atoms and distances in Å follow each position.
Atoms (fractional coordinates):
Cs  0.0942  0.2500  0.1250  2 S 3.28
Cs  0.2500  0.5942  0.3750  2 S 3.28
Cs  0.2500  0.9058  0.8750  2 S 3.28
Cs  0.4058  0.2500  0.6250  2 S 3.28
Cs  0.5942  0.7500  0.6250  2 S 3.28
Cs  0.7500  0.0942  0.8750  2 S 3.28
Cs  0.7500  0.4058  0.3750  2 S 3.28
Cs  0.9058  0.7500  0.1250  2 S 3.28
Se  0.0000  0.0000  0.5000  2 S 2.63
Se  0.0000  0.5000  0.7500  2 S 2.63
Se  0.5000  0.0000  0.2500  2 S 2.63
Se  0.5000  0.5000  0.0000  2 S 2.63
S  0.0000  0.0000  0.0000  2 Se 2.63
S  0.0000  0.5000  0.2500  2 Se 2.63
S  0.5000  0.0000  0.7500  2 Se 2.63
S  0.5000  0.5000  0.5000  2 Se 2.63

Calculated values
**Space-group type**: I-42d
**E**: -3.01 eV/atom


No. 2
First-principles (PBE) data for a relaxed Cs5Se2S5 crystal, as listed in the Alexandria database.

a b c (Å): 8.0552 8.0552 11.5289
angles (deg): 92.54 92.54 38.45
Closest atoms and distances in Å follow each position.
Atoms (fractional coordinates):
Cs  0.0000  0.0000  0.0000  2 S 3.32
Cs  0.1252  0.1252  0.5750  4 S 3.35-3.50
Cs  0.2886  0.2886  0.8498  1 Se 3.43, 4 S 3.73-3.79
Cs  0.7114  0.7114  0.1502  1 Se 3.43, 4 S 3.73-3.79
Cs  0.8748  0.8748  0.4250  4 S 3.35-3.50
Se  0.4869  0.4869  0.7194  2 S 2.28-2.55
Se  0.5131  0.5131  0.2806  2 S 2.28-2.55
S  0.0666  0.0666  0.2781  2 Se 2.77
S  0.3838  0.3838  0.1715  1 Se 2.28
S  0.5000  0.5000  0.5000  2 Se 2.55
S  0.6162  0.6162  0.8285  1 Se 2.28
S  0.9334  0.9334  0.7219  2 Se 2.77

Calculated values
**Space-group type**: C2/m
**E**: -3.28 eV/atom


No. 3
First-principles (PBE) data for a relaxed Cs6SeS2 crystal, as listed in the Alexandria database.

a b c (Å): 7.0825 7.0825 8.8952
angles (deg): 96.26 96.26 105.70
Closest atoms and distances in Å follow each position.
Atoms (fractional coordinates):
Cs  0.0889  0.4828  0.7868  2 S 3.31-3.42
Cs  0.2112  0.2112  0.3990  4 S 3.57-3.75, 1 Se 3.68, 2 Cs 3.80
Cs  0.4828  0.0889  0.7868  2 S 3.31-3.42
Cs  0.5172  0.9111  0.2132  2 S 3.31-3.42
Cs  0.7888  0.7888  0.6010  4 S 3.57-3.75, 1 Se 3.68, 2 Cs 3.80
Cs  0.9111  0.5172  0.2132  2 S 3.31-3.42
Se  0.0000  0.0000  0.0000  6 Cs 3.68-4.02
S  0.2721  0.7279  0.5000  6 Cs 3.31-3.57
S  0.7279  0.2721  0.5000  6 Cs 3.31-3.57

Calculated values
**Space-group type**: C2/m
**E**: -2.80 eV/atom


No. 4
First-principles (PBE) data for a relaxed CsSeS2 crystal, as listed in the Alexandria database.

a b c (Å): 8.9565 11.1574 8.1075
angles (deg): 90.00 123.39 90.00
Closest atoms and distances in Å follow each position.
Atoms (fractional coordinates):
Cs  0.0000  0.1327  0.2500  6 S 3.62-3.64
Cs  0.0000  0.8673  0.7500  6 S 3.62-3.64
Cs  0.5000  0.3673  0.7500  6 S 3.62-3.64
Cs  0.5000  0.6327  0.2500  6 S 3.62-3.64
Se  0.0000  0.4729  0.7500  2 S 2.16
Se  0.0000  0.5271  0.2500  2 S 2.16
Se  0.5000  0.0271  0.2500  2 S 2.16
Se  0.5000  0.9729  0.7500  2 S 2.16
S  0.1858  0.4170  0.2261  1 Se 2.16
S  0.1858  0.5830  0.7261  1 Se 2.16
S  0.3142  0.0830  0.7739  1 Se 2.16
S  0.3142  0.9170  0.2739  1 Se 2.16
S  0.6858  0.0830  0.7261  1 Se 2.16
S  0.6858  0.9170  0.2261  1 Se 2.16
S  0.8142  0.4170  0.2739  1 Se 2.16
S  0.8142  0.5830  0.7739  1 Se 2.16

Calculated values
**Space-group type**: C2/c
**E**: -3.65 eV/atom


No. 5
First-principles (PBE) data for a relaxed CsSeS crystal, as listed in the Alexandria database.

a b c (Å): 16.6929 5.1163 5.4859
angles (deg): 90.00 107.47 90.00
Closest atoms and distances in Å follow each position.
Atoms (fractional coordinates):
Cs  0.1056  0.0000  0.3172  6 S 3.74-4.13, 4 Se 3.78-3.91, 1 Cs 4.15
Cs  0.3944  0.5000  0.6828  6 S 3.74-4.13, 4 Se 3.78-3.91, 1 Cs 4.15
Cs  0.6056  0.5000  0.3172  6 S 3.74-4.13, 4 Se 3.78-3.91, 1 Cs 4.15
Cs  0.8944  0.0000  0.6828  6 S 3.74-4.13, 4 Se 3.78-3.91, 1 Cs 4.15
Se  0.2307  0.5000  0.0334  1 S 2.21
Se  0.2693  0.0000  0.9666  1 S 2.21
Se  0.7307  0.0000  0.0334  1 S 2.21
Se  0.7693  0.5000  0.9666  1 S 2.21
S  0.0968  0.5000  0.8054  1 Se 2.21
S  0.4032  0.0000  0.1946  1 Se 2.21
S  0.5968  0.0000  0.8054  1 Se 2.21
S  0.9032  0.5000  0.1946  1 Se 2.21

Calculated values
**Space-group type**: C2/m
**E**: -3.49 eV/atom


No. 6
First-principles (PBE) data for a relaxed Cs2SeS3 crystal, as listed in the Alexandria database.

a b c (Å): 11.6356 11.6356 7.5121
angles (deg): 90.00 90.00 155.75
Closest atoms and distances in Å follow each position.
Atoms (fractional coordinates):
Cs  0.0144  0.9856  0.7500  5 S 3.52-3.77, 2 Cs 3.81, 2 Se 3.91
Cs  0.1825  0.8175  0.2500  8 S 3.74-3.97, 1 Se 3.85
Cs  0.8175  0.1825  0.7500  8 S 3.74-3.97, 1 Se 3.85
Cs  0.9856  0.0144  0.2500  5 S 3.52-3.77, 2 Cs 3.81, 2 Se 3.91
Se  0.3517  0.6483  0.2500  2 S 2.21
Se  0.6483  0.3517  0.7500  2 S 2.21
S  0.1803  0.8197  0.7500  2 Se 2.55
S  0.4078  0.5922  0.0094  1 Se 2.21
S  0.4078  0.5922  0.4906  1 Se 2.21
S  0.5922  0.4078  0.5094  1 Se 2.21
S  0.5922  0.4078  0.9906  1 Se 2.21
S  0.8197  0.1803  0.2500  2 Se 2.55

Calculated values
**Space-group type**: Cmcm
**E**: -3.54 eV/atom


No. 7
First-principles (PBE) data for a relaxed Cs2Se3S2 crystal, as listed in the Alexandria database.

a b c (Å): 5.6730 4.8121 9.9433
angles (deg): 90.00 94.70 90.00
Closest atoms and distances in Å follow each position.
Atoms (fractional coordinates):
Cs  0.1793  0.0000  0.2410  4 S 3.70-4.01, 6 Se 3.73-3.92
Cs  0.8207  0.0000  0.7590  4 S 3.70-4.01, 6 Se 3.73-3.92
Se  0.0000  0.5000  0.5000  2 S 2.41
Se  0.3366  0.5000  0.8813  1 S 2.21
Se  0.6634  0.5000  0.1187  1 S 2.21
S  0.3437  0.5000  0.6590  2 Se 2.21-2.41
S  0.6563  0.5000  0.3410  2 Se 2.21-2.41

Calculated values
**Space-group type**: P2/m
**E**: -3.44 eV/atom


No. 8
First-principles (PBE) data for a relaxed CsSe6S3 crystal, as listed in the Alexandria database.

a b c (Å): 5.7384 10.2274 11.8277
angles (deg): 92.93 95.83 96.81
Closest atoms and distances in Å follow each position.
Atoms (fractional coordinates):
Cs  0.0000  0.0000  0.0000  6 Se 3.72-4.13, 2 S 3.76
Cs  0.5000  0.5000  0.5000  2 S 3.61, 4 Se 3.84-3.85
Se  0.0157  0.2147  0.6528  2 Se 2.44-2.64
Se  0.0971  0.5933  0.2455  2 Se 2.44-2.45
Se  0.3049  0.8461  0.5350  2 S 2.27-2.51
Se  0.3544  0.6942  0.1122  2 Se 2.34-2.45, 1 S 2.60
Se  0.3700  0.1439  0.7859  1 Se 2.34
Se  0.4109  0.3182  0.1340  1 S 2.23
Se  0.5891  0.6818  0.8660  1 S 2.23
Se  0.6300  0.8561  0.2141  1 Se 2.34
Se  0.6456  0.3058  0.8878  2 Se 2.34-2.45, 1 S 2.60
Se  0.6951  0.1539  0.4650  2 S 2.27-2.51
Se  0.9029  0.4067  0.7545  2 Se 2.44-2.45
Se  0.9843  0.7853  0.3472  2 Se 2.44-2.64
S  0.0000  0.0000  0.5000  4 Se 2.51-2.76
S  0.1281  0.6979  0.6459  1 S 2.04, 1 Se 2.27
S  0.2469  0.7550  0.8115  1 S 2.04, 1 Se 2.23
S  0.5000  0.5000  0.0000  4 Se 2.54-2.60
S  0.7531  0.2450  0.1885  1 S 2.04, 1 Se 2.23
S  0.8719  0.3021  0.3541  1 S 2.04, 1 Se 2.27

Calculated values
**Space-group type**: P-1
**E**: -3.52 eV/atom


No. 9
First-principles (PBE) data for a relaxed Cs3Se2S5 crystal, as listed in the Alexandria database.

a b c (Å): 11.7414 11.7414 11.7414
angles (deg): 133.87 64.42 137.63
Closest atoms and distances in Å follow each position.
Atoms (fractional coordinates):
Cs  0.1373  0.5996  0.7370  5 S 3.56-3.75, 1 Se 3.91
Cs  0.2500  0.2500  0.0000  4 S 3.53, 4 Se 3.79
Cs  0.3627  0.0996  0.4623  5 S 3.56-3.75, 1 Se 3.91
Cs  0.6373  0.9004  0.5377  5 S 3.56-3.75, 1 Se 3.91
Cs  0.7500  0.7500  0.0000  4 S 3.53, 4 Se 3.79
Cs  0.8627  0.4004  0.2630  5 S 3.56-3.75, 1 Se 3.91
Se  0.1580  0.0224  0.1804  3 S 2.18-2.40
Se  0.3420  0.5224  0.8644  3 S 2.18-2.40
Se  0.6580  0.4776  0.1356  3 S 2.18-2.40
Se  0.8420  0.9776  0.8196  3 S 2.18-2.40
S  0.0360  0.2500  0.7860  2 Se 2.40
S  0.0984  0.2215  0.3199  1 Se 2.18
S  0.2500  0.7500  0.5000  4 Cs 3.58, 4 S 3.86
S  0.4016  0.7215  0.1231  1 Se 2.18
S  0.4640  0.2500  0.2140  2 Se 2.40
S  0.5360  0.7500  0.7860  2 Se 2.40
S  0.5984  0.2785  0.8769  1 Se 2.18
S  0.7500  0.2500  0.5000  4 Cs 3.58, 4 S 3.86
S  0.9016  0.7785  0.6801  1 Se 2.18
S  0.9640  0.7500  0.2140  2 Se 2.40

Calculated values
**Space-group type**: Ibam
**E**: -3.39 eV/atom


No. 10
First-principles (PBE) data for a relaxed CsSeS5 crystal, as listed in the Alexandria database.

a b c (Å): 6.0101 13.0950 6.2458
angles (deg): 90.00 107.53 90.00
Closest atoms and distances in Å follow each position.
Atoms (fractional coordinates):
Cs  0.0000  0.0000  0.0000  8 S 3.54-3.95
Cs  0.5000  0.5000  0.0000  8 S 3.54-3.95
Se  0.0000  0.2963  0.5000  1 S 2.22
Se  0.5000  0.7963  0.5000  1 S 2.22
S  0.0000  0.1270  0.5000  1 Se 2.22
S  0.0890  0.5631  0.3897  1 S 1.98
S  0.1306  0.3142  0.1461  1 S 2.02
S  0.3694  0.8142  0.8539  1 S 2.02
S  0.4110  0.0631  0.6103  1 S 1.98
S  0.5000  0.6270  0.5000  1 Se 2.22
S  0.5890  0.0631  0.3897  1 S 1.98
S  0.6306  0.8142  0.1461  1 S 2.02
S  0.8694  0.3142  0.8539  1 S 2.02
S  0.9110  0.5631  0.6103  1 S 1.98

Calculated values
**Space-group type**: C2
**E**: -3.70 eV/atom


No. 11
First-principles (PBE) data for a relaxed CsSe4S crystal, as listed in the Alexandria database.

a b c (Å): 7.7538 7.7538 9.6207
angles (deg): 111.38 111.38 54.14
Closest atoms and distances in Å follow each position.
Atoms (fractional coordinates):
Cs  0.2164  0.2164  0.2307  9 Se 3.73-4.08
Cs  0.7836  0.7836  0.7693  9 Se 3.73-4.08
Se  0.1375  0.7542  0.2036  1 S 2.47, 2 Se 2.64-2.70
Se  0.1740  0.8260  0.5000  3 Se 2.46-2.64
Se  0.2458  0.8625  0.7964  1 S 2.47, 2 Se 2.64-2.70
Se  0.3047  0.3047  0.6588  1 S 2.15
Se  0.6953  0.6953  0.3412  1 S 2.15
Se  0.7542  0.1375  0.2036  1 S 2.47, 2 Se 2.64-2.70
Se  0.8260  0.1740  0.5000  3 Se 2.46-2.64
Se  0.8625  0.2458  0.7964  1 S 2.47, 2 Se 2.64-2.70
S  0.4716  0.4716  0.8051  1 Se 2.15
S  0.5284  0.5284  0.1949  1 Se 2.15

Calculated values
**Space-group type**: C2/m
**E**: -3.36 eV/atom


No. 12
First-principles (PBE) data for a relaxed CsSe3S crystal, as listed in the Alexandria database.

a b c (Å): 5.3716 5.5796 25.3823
angles (deg): 90.00 90.00 90.00
Closest atoms and distances in Å follow each position.
Atoms (fractional coordinates):
Cs  0.0393  0.2500  0.1453  4 S 3.69-4.09, 6 Se 3.92-4.02
Cs  0.4607  0.7500  0.6453  4 S 3.69-4.09, 6 Se 3.92-4.02
Cs  0.5393  0.2500  0.3547  4 S 3.69-4.09, 6 Se 3.92-4.02
Cs  0.9607  0.7500  0.8547  4 S 3.69-4.09, 6 Se 3.92-4.02
Se  0.0359  0.7500  0.2581  1 S 2.20
Se  0.0534  0.5046  0.4554  1 Se 2.34
Se  0.0534  0.9954  0.4554  1 Se 2.34
Se  0.4466  0.0046  0.9554  1 Se 2.34
Se  0.4466  0.4954  0.9554  1 Se 2.34
Se  0.4641  0.2500  0.7581  1 S 2.20
Se  0.5359  0.7500  0.2419  1 S 2.20
Se  0.5534  0.5046  0.0446  1 Se 2.34
Se  0.5534  0.9954  0.0446  1 Se 2.34
Se  0.9466  0.0046  0.5446  1 Se 2.34
Se  0.9466  0.4954  0.5446  1 Se 2.34
Se  0.9641  0.2500  0.7419  1 S 2.20
S  0.0140  0.2500  0.6560  1 Se 2.20
S  0.4860  0.7500  0.1560  1 Se 2.20
S  0.5140  0.2500  0.8440  1 Se 2.20
S  0.9860  0.7500  0.3440  1 Se 2.20

Calculated values
**Space-group type**: Pnma
**E**: -3.44 eV/atom


> The lowest E belongs to which entry?

CsSeS5


What did the second record say?
First-principles (PBE) data for a relaxed Cs5Se2S5 crystal, as listed in the Alexandria database.

a b c (Å): 8.0552 8.0552 11.5289
angles (deg): 92.54 92.54 38.45
Closest atoms and distances in Å follow each position.
Atoms (fractional coordinates):
Cs  0.0000  0.0000  0.0000  2 S 3.32
Cs  0.1252  0.1252  0.5750  4 S 3.35-3.50
Cs  0.2886  0.2886  0.8498  1 Se 3.43, 4 S 3.73-3.79
Cs  0.7114  0.7114  0.1502  1 Se 3.43, 4 S 3.73-3.79
Cs  0.8748  0.8748  0.4250  4 S 3.35-3.50
Se  0.4869  0.4869  0.7194  2 S 2.28-2.55
Se  0.5131  0.5131  0.2806  2 S 2.28-2.55
S  0.0666  0.0666  0.2781  2 Se 2.77
S  0.3838  0.3838  0.1715  1 Se 2.28
S  0.5000  0.5000  0.5000  2 Se 2.55
S  0.6162  0.6162  0.8285  1 Se 2.28
S  0.9334  0.9334  0.7219  2 Se 2.77

Calculated values
**Space-group type**: C2/m
**E**: -3.28 eV/atom


> What is the E in the ninth record?

-3.39 eV/atom